A relaxed Ba2TmPaAs4 crystal, computed with PBE.

It has space group P2/m (No. 10), with a = 7.417 Å, b = 4.353 Å, c = 7.876 Å, α = 90.00°, β = 108.58° and γ = 90.00°. The asymmetric unit holds Ba at (0.000, 0.000, 0.000), Ba at (0.500, 0.500, 0.000), Tm at (0.000, 0.500, 0.500), Pa at (0.500, 0.000, 0.500), As at (0.242, 0.000, 0.704) and As at (0.271, 0.500, 0.298).

For the total DFT energy (no corrections), the calculation gives -5.760 eV/atom. As for the energy of formation from the pure elements: -1.209 eV per atom.

---

A relaxed Ba3U2PaAs6 crystal, computed with PBE.

It has space group C2/m (No. 12), with a = 7.476 Å, b = 12.949 Å, c = 7.881 Å, α = 90.00°, β = 108.43° and γ = 90.00°. The asymmetric unit holds Ba at (0.000, 0.000, 0.000), Ba at (0.000, 0.333, 0.000), U at (0.000, 0.167, 0.500), Pa at (0.000, 0.500, 0.500), As at (0.233, 0.335, 0.702) and As at (0.237, 0.000, 0.702).

For the total DFT energy (no corrections), the calculation gives -6.449 eV/atom. As for the energy of formation from the pure elements: -0.971 eV per atom.

---

A relaxed Ba2UPaAs4 crystal, computed with PBE.

It has space group P2/m (No. 10), with a = 7.472 Å, b = 4.319 Å, c = 7.885 Å, α = 90.00°, β = 108.48° and γ = 90.00°. The asymmetric unit holds Ba at (0.000, 0.000, 0.000), Ba at (0.500, 0.500, 0.000), U at (0.000, 0.500, 0.500), Pa at (0.500, 0.000, 0.500), As at (0.237, 0.000, 0.702) and As at (0.269, 0.500, 0.298).

For the total DFT energy (no corrections), the calculation gives -6.406 eV/atom. As for the energy of formation from the pure elements: -1.003 eV per atom.

---

A relaxed BaPaZnAs3 crystal, computed with PBE.

It has space group P2_1/m (No. 11), with a = 8.855 Å, b = 4.237 Å, c = 9.485 Å, α = 90.00°, β = 105.94° and γ = 90.00°. The asymmetric unit holds Ba at (0.200, 0.250, 0.242), Pa at (0.321, 0.750, 0.843), Zn at (0.087, 0.250, 0.596), As at (0.114, 0.250, 0.867), As at (0.218, 0.750, 0.529) and As at (0.461, 0.750, 0.155).

For the total DFT energy (no corrections), the calculation gives -5.314 eV/atom. As for the energy of formation from the pure elements: -0.873 eV per atom.

---

A relaxed Ba2ZrPaAs4 crystal, computed with PBE.

It has space group P2/m (No. 10), with a = 7.245 Å, b = 4.233 Å, c = 7.852 Å, α = 90.00°, β = 108.04° and γ = 90.00°. The asymmetric unit holds Ba at (0.000, 0.000, 0.000), Ba at (0.500, 0.500, 0.000), Zr at (0.000, 0.500, 0.500), Pa at (0.500, 0.000, 0.500), As at (0.229, 0.000, 0.700) and As at (0.261, 0.500, 0.299).

For the total DFT energy (no corrections), the calculation gives -6.166 eV/atom. As for the energy of formation from the pure elements: -1.105 eV per atom.

---

A relaxed BaAs2Pb2 crystal, computed with PBE.

It has space group P4/mbm (No. 127), with a = 8.741 Å, b = 8.741 Å, c = 3.920 Å, α = 90.00°, β = 90.00° and γ = 90.00°. The asymmetric unit holds Ba at (0.000, 0.000, 0.000), As at (0.191, 0.309, 0.500) and Pb at (0.126, 0.626, 0.000).

For the total DFT energy (no corrections), the calculation gives -3.916 eV/atom. As for the energy of formation from the pure elements: -0.188 eV per atom.

---

Copy entry 4 word for word.
A relaxed BaPaZnAs3 crystal, computed with PBE.

It has space group P2_1/m (No. 11), with a = 8.855 Å, b = 4.237 Å, c = 9.485 Å, α = 90.00°, β = 105.94° and γ = 90.00°. The asymmetric unit holds Ba at (0.200, 0.250, 0.242), Pa at (0.321, 0.750, 0.843), Zn at (0.087, 0.250, 0.596), As at (0.114, 0.250, 0.867), As at (0.218, 0.750, 0.529) and As at (0.461, 0.750, 0.155).

For the total DFT energy (no corrections), the calculation gives -5.314 eV/atom. As for the energy of formation from the pure elements: -0.873 eV per atom.

---

> The highest total DFT energy (no corrections) belongs to which entry?

BaAs2Pb2

---

> Look up the total DFT energy (no corrections) of the second one.

-6.449 eV/atom

---

> Which formula does entry 1 have?

Ba2TmPaAs4